Entry from Alexandria via LeMat-Bulk: crystalline NaV3O6 at its relaxed geometry (GGA+U).

The value obtained for the magnetization is 8.000 Bohr magnetons per cell. Its polymorph energy (0 for the lowest one) is 73 kJ/mol of formula units.

The structure belongs to space group C2 (No. 5); the cell edges are 5.695, 8.367 and 5.340 Å and the angles 90.00°, 114.36° and 90.00°. The inequivalent atoms are Na at (0.000, 0.000, 0.000), V at (0.000, 0.194, 0.500), V at (0.000, 0.381, 0.000), V at (0.000, 0.568, 0.500), O at (0.162, 0.379, 0.737), O at (0.220, 0.205, 0.283) and O at (0.226, 0.551, 0.284).